1.
RbBaAl2Br8: optimized geometry, GGA-PBE.

Cell and atoms, written as POSCAR:
```
RbBaAl2Br8
1.0
-6.567 0.068 -3.173
-5.254 -4.455 2.396
-7.060 5.774 6.353
Al Br Rb Ba
2 8 1 1
direct
0.244 0.244 0.267
0.756 0.756 0.733
0.695 0.059 0.811
0.566 0.305 0.189
0.059 0.434 0.811
0.832 0.832 0.505
0.941 0.566 0.189
0.168 0.168 0.495
0.305 0.941 0.189
0.434 0.695 0.811
0.500 0.500 0.500
0.000 0.000 0.000
```

Results
As for the uncorrected formation energy: -15.877 eV per formula unit. As for the density of states at the Fermi level: 5.85 states/eV/f.u. The density comes out at 3.2 g/cm3. The value obtained for the volume is 473.93 Å³/f.u.

2.
HfTa2OsAu: optimized geometry, GGA-PBE.

Cell and atoms, written as POSCAR:
```
HfTa2OsAu
1.0
-0.850 -4.831 0.084
4.023 -0.749 -2.325
2.399 -0.348 4.265
Au Ta Hf Os
1 2 1 1
direct
0.500 0.500 0.500
0.000 0.000 0.500
0.500 0.000 0.000
0.000 0.000 0.000
0.000 0.500 0.000
```

Results
For the calculated formation energy, the calculation gives 1.954 eV per atom. As for the density of states at the Fermi level: 4.48 states/eV/f.u. The density comes out at 13.6 g/cm3. The value obtained for the volume is 113.27 Å³/f.u.

3.
Na5Li: optimized geometry, GGA-PBE.

Cell and atoms, written as POSCAR:
```
Na5Li
1.0
5.207 0.000 0.000
0.000 5.180 0.000
0.000 -2.590 7.536
Na Li
5 1
direct
0.500 0.500 0.000
0.500 0.160 0.321
0.500 0.840 0.679
0.000 0.339 0.678
0.000 0.661 0.322
0.000 0.000 0.000
```

Results
For the calculated formation energy, the calculation gives 0.028 eV per atom. As for the density of states at the Fermi level: 2.33 states/eV/f.u. The density comes out at 1.0 g/cm3. The value obtained for the volume is 203.28 Å³/f.u.

4.
Mg2TcSn: optimized geometry, GGA-PBE.

Cell and atoms, written as POSCAR:
```
Mg2TcSn
1.0
2.963 0.000 0.000
1.481 2.566 0.000
1.481 0.855 10.923
Tc Mg Sn
1 2 1
direct
0.000 0.000 0.000
0.919 0.919 0.242
0.081 0.081 0.758
0.500 0.500 0.500
```

Results
For the calculated formation energy, the calculation gives 0.574 eV per atom. As for the density of states at the Fermi level: 2.91 states/eV/f.u. The density comes out at 5.3 g/cm3. The value obtained for the volume is 83.04 Å³/f.u.

5.
TlCuRh: optimized geometry, GGA-PBE.

Cell and atoms, written as POSCAR:
```
TlCuRh
1.0
-4.157 0.536 -2.610
-2.765 -3.891 -1.263
2.104 2.277 3.843
Rh Cu Tl
1 1 1
direct
0.342 0.342 0.000
0.990 0.990 0.000
0.668 0.668 0.000
```

Results
For the calculated formation energy, the calculation gives 0.193 eV per atom. As for the density of states at the Fermi level: 1.34 states/eV/f.u. The density comes out at 12.4 g/cm3. The value obtained for the volume is 49.54 Å³/f.u.

6.
CuSnHgCl6: optimized geometry, GGA-PBE.

Cell and atoms, written as POSCAR:
```
CuSnHgCl6
1.0
-6.073 1.698 0.074
-3.970 -0.698 -5.367
-1.247 -7.490 3.669
Cl Cu Hg Sn
6 1 1 1
direct
0.347 0.622 0.351
0.628 0.371 0.692
0.627 0.002 0.309
0.974 0.662 0.670
0.348 0.029 0.649
0.973 0.364 0.330
0.658 0.671 0.499
0.102 0.950 0.000
0.343 0.329 0.500
```

Results
As for the uncorrected formation energy: -5.861 eV per formula unit. As for the density of states at the Fermi level: 2.34 states/eV/f.u. The density comes out at 3.3 g/cm3. The value obtained for the volume is 297.90 Å³/f.u.

7.
AlBiAs2O8: optimized geometry, GGA-PBE.

Cell and atoms, written as POSCAR:
```
AlBiAs2O8
1.0
5.340 0.000 0.000
-2.670 4.624 0.000
0.000 0.000 6.556
As O Al Bi
2 8 1 1
direct
0.333 0.667 0.735
0.667 0.333 0.265
0.157 0.313 0.813
0.843 0.157 0.187
0.157 0.843 0.813
0.333 0.667 0.477
0.667 0.333 0.523
0.843 0.687 0.187
0.313 0.157 0.187
0.687 0.843 0.813
0.000 0.000 0.000
0.000 0.000 0.500
```

Results
As for the uncorrected formation energy: -18.386 eV per formula unit. As for the density of states at the Fermi level: 0.00 states/eV/f.u. The density comes out at 5.3 g/cm3. The value obtained for the volume is 161.88 Å³/f.u.

8.
KMgCoCl5: optimized geometry, GGA-PBE.

Cell and atoms, written as POSCAR:
```
KMgCoCl5
1.0
-4.744 -5.085 -1.880
4.551 0.578 -5.554
5.060 -4.070 6.527
K Cl Mg Co
2 10 2 2
direct
0.660 0.340 0.750
0.340 0.660 0.250
0.621 0.759 0.931
0.311 0.906 0.609
0.094 0.689 0.891
0.241 0.379 0.569
0.906 0.311 0.109
0.930 0.070 0.750
0.689 0.094 0.391
0.070 0.930 0.250
0.379 0.241 0.069
0.759 0.621 0.431
0.000 0.000 0.500
0.000 0.000 0.000
0.686 0.314 0.250
0.314 0.686 0.750
```

Results
As for the uncorrected formation energy: -11.133 eV per formula unit. The density comes out at 2.3 g/cm3. The value obtained for the volume is 211.80 Å³/f.u.